No. 1
Ni5SbPt4 after structural relaxation. Source: Alexandria via LeMat-Bulk, functional PBE.

a = 3.7476 Å, b = 7.7247 Å, c = 6.8502 Å
α = 122.76°, β = 105.88°, γ = 90.00°
Each line ends with the local moment (μB).
Positions (direct):
1 Pt 0.3355 0.5772 0.6711  0.15
2 Ni 0.8318 0.3382 0.6635  0.48
3 Ni 0.5000 0.5000 0.0000  0.38
4 Ni 0.1682 0.6618 0.3365  0.48
5 Pt 0.0216 0.7611 0.0433  0.07
6 Ni 0.8247 0.8241 0.6494  0.32
7 Sb 0.5000 0.0000 0.0000  -0.01
8 Pt 0.6645 0.4228 0.3289  0.15
9 Pt 0.9784 0.2389 0.9567  0.07
10 Ni 0.1753 0.1759 0.3506  0.32

Energy relative to the elements, uncorrected (eV/f.u.): 1.6
Crystal system: monoclinic

=====

No. 2
Zr2Cd2Pd after structural relaxation. Source: Alexandria via LeMat-Bulk, functional PBE.

a = 3.1106 Å, b = 3.1106 Å, c = 10.7882 Å
α = 98.29°, β = 98.29°, γ = 90.00°
Positions (direct):
1 Zr 0.5906 0.5906 0.1811
2 Cd 0.1976 0.1976 0.3953
3 Zr 0.4094 0.4094 0.8189
4 Cd 0.8024 0.8024 0.6047
5 Pd 0.0000 0.0000 0.0000

Crystal system: tetragonal
Energy of formation from the pure elements (eV/f.u.): -1.37
Distance to the lowest polymorph of the same formula (meV/atom): 0

=====

No. 3
VReAgHg2 after structural relaxation. Source: Alexandria via LeMat-Bulk, functional PBE.

a = 5.1731 Å, b = 5.0789 Å, c = 5.1731 Å
α = 90.00°, β = 90.00°, γ = 90.00°
Each line ends with the local moment (μB).
Positions (direct):
1 Hg 0.0000 0.0000 0.5000  -0.04
2 Re 0.0000 0.0000 0.0000  -1.25
3 Hg 0.5000 0.0000 0.0000  -0.01
4 V 0.5000 0.5000 0.5000  0.41
5 Ag 0.0000 0.5000 0.0000  -0.08

Crystal system: tetragonal
Energy of formation from the pure elements (eV/f.u.): 9.15

=====

No. 4
YTlBi after structural relaxation. Source: Alexandria via LeMat-Bulk, functional PBE.

a = 3.4313 Å, b = 3.4313 Å, c = 8.7117 Å
α = 101.36°, β = 101.36°, γ = 90.00°
Each line ends with the local moment (μB).
Positions (direct):
1 Y 0.7644 0.7644 0.5288  0.32
2 Tl 0.1346 0.1346 0.2692  0.02
3 Bi 0.9510 0.9510 0.9020  0.02

Crystal system: tetragonal
Energy of formation from the pure elements (eV/f.u.): 0.12
Distance to the lowest polymorph of the same formula (meV/atom): 251

=====

No. 5
DyPuCuRh after structural relaxation. Source: Alexandria via LeMat-Bulk, functional PBE.

a = 4.8860 Å, b = 4.8860 Å, c = 4.8860 Å
α = 60.00°, β = 60.00°, γ = 60.00°
Each line ends with the local moment (μB).
Positions (direct):
1 Rh 0.5000 0.5000 0.5000  -0.18
2 Pu 0.2500 0.2500 0.2500  5.25
3 Dy 0.7500 0.7500 0.7500  0.18
4 Cu 0.0000 0.0000 0.0000  0.04

Crystal system: cubic
Energy of formation from the pure elements (eV/f.u.): -1.33

=====

No. 6
K2CaVS4 after structural relaxation. Source: Alexandria via LeMat-Bulk, functional PBE.

a = 6.1445 Å, b = 9.1252 Å, c = 8.3998 Å
α = 90.00°, β = 90.00°, γ = 90.00°
Each line ends with the local moment (μB).
Positions (direct):
1 K 0.9361 0.6405 0.7832  0.00
2 K 0.9361 0.6405 0.2168  0.00
3 Ca 0.4443 0.8910 0.0000  0.01
4 S 0.9303 0.2898 0.2288  -0.02
5 K 0.4361 0.3595 0.2832  0.00
6 S 0.4303 0.7102 0.2712  -0.02
7 S 0.4303 0.7102 0.7288  -0.02
8 V 0.0184 0.1710 0.0000  0.97
9 S 0.9294 0.9340 0.0000  -0.03
10 S 0.8750 0.8228 0.5000  -0.02
11 S 0.9303 0.2898 0.7712  -0.02
12 V 0.5184 0.8290 0.5000  0.97
13 S 0.4294 0.0660 0.5000  -0.03
14 K 0.4361 0.3595 0.7168  0.00
15 Ca 0.9443 0.1090 0.5000  0.01
16 S 0.3750 0.1772 0.0000  -0.02

Energy relative to the elements, uncorrected (eV/f.u.): -9.8
Crystal system: orthorhombic

=====

No. 7
CeDy3Pu2Te6 after structural relaxation. Source: Alexandria via LeMat-Bulk, functional PBE.

a = 4.2107 Å, b = 12.3383 Å, c = 11.5759 Å
α = 137.92°, β = 100.48°, γ = 90.00°
Each line ends with the local moment (μB).
Positions (direct):
1 Pu 0.8151 0.3729 0.6302  5.60
2 Te 0.3115 0.1756 0.6229  -0.03
3 Dy 0.8944 0.1296 0.7889  0.06
4 Ce 0.5000 0.0000 0.0000  1.03
5 Te 0.8441 0.8082 0.6882  -0.05
6 Te 0.4519 0.6794 0.9037  -0.03
7 Dy 0.5000 0.5000 0.0000  0.12
8 Pu 0.1849 0.6271 0.3698  5.60
9 Dy 0.1056 0.8704 0.2111  0.06
10 Te 0.5481 0.3206 0.0963  -0.03
11 Te 0.1559 0.1918 0.3118  -0.05
12 Te 0.6885 0.8244 0.3771  -0.03

Energy relative to the elements, uncorrected (eV/f.u.): -13.1
Crystal system: monoclinic

=====

No. 8
TaAlCr2 after structural relaxation. Source: Alexandria via LeMat-Bulk, functional PBE.

a = 4.1922 Å, b = 2.7122 Å, c = 5.1124 Å
α = 77.62°, β = 90.00°, γ = 90.00°
Positions (direct):
1 Cr 0.5000 0.1966 0.2245
2 Al 0.5000 0.8181 0.7634
3 Ta 0.0000 0.4804 0.4948
4 Cr 0.0000 0.0049 0.0173

Crystal system: monoclinic
Energy of formation from the pure elements (eV/f.u.): 0.08

=====

No. 9
Fe2AgBr after structural relaxation. Source: Alexandria via LeMat-Bulk, functional PBE.

a = 4.1079 Å, b = 4.1079 Å, c = 6.6529 Å
α = 94.57°, β = 94.57°, γ = 44.97°
Each line ends with the local moment (μB).
Positions (direct):
1 Fe 0.7193 0.7193 0.7978  2.85
2 Br 0.3359 0.3359 0.1695  0.10
3 Ag 0.4194 0.4194 0.5856  0.03
4 Fe 0.0253 0.0253 0.9471  2.76

Energy relative to the elements, uncorrected (eV/f.u.): 1.8
Crystal system: monoclinic
Distance to the lowest polymorph of the same formula (meV/atom): 120

=====

No. 10
Co2SbN2 after structural relaxation. Source: Alexandria via LeMat-Bulk, functional PBE.

a = 6.7966 Å, b = 6.7966 Å, c = 2.8643 Å
α = 90.00°, β = 90.00°, γ = 90.00°
Positions (direct):
1 Sb 0.5000 0.5000 0.0000
2 Co 0.1321 0.6321 0.5000
3 N 0.0695 0.4305 0.0000
4 Co 0.8679 0.3679 0.5000
5 N 0.9305 0.5695 0.0000
6 Co 0.3679 0.1321 0.5000
7 Sb 0.0000 0.0000 0.0000
8 Co 0.6321 0.8679 0.5000
9 N 0.4305 0.9305 0.0000
10 N 0.5695 0.0695 0.0000

Energy relative to the elements, uncorrected (eV/f.u.): 4.6
Crystal system: tetragonal

=====

No. 11
Nd2TmScSe4 after structural relaxation. Source: Alexandria via LeMat-Bulk, functional PBE.

a = 4.0126 Å, b = 6.9807 Å, c = 7.2941 Å
α = 108.49°, β = 90.00°, γ = 90.00°
Positions (direct):
1 Nd 0.5000 0.0000 0.5000
2 Se 0.0000 0.7468 0.2267
3 Nd 0.0000 0.5000 0.5000
4 Tm 0.5000 0.5000 0.0000
5 Sc 0.0000 0.0000 0.0000
6 Se 0.0000 0.2532 0.7733
7 Se 0.5000 0.2361 0.2234
8 Se 0.5000 0.7639 0.7766

Energy relative to the elements, uncorrected (eV/f.u.): -13.8
Crystal system: monoclinic

=====

No. 12
FeCo2Pt8 after structural relaxation. Source: Alexandria via LeMat-Bulk, functional PBE.

a = 3.8918 Å, b = 6.1595 Å, c = 7.2666 Å
α = 104.97°, β = 105.53°, γ = 90.00°
Each line ends with the local moment (μB).
Positions (direct):
1 Co 0.7743 0.3715 0.5485  2.01
2 Co 0.2257 0.6285 0.4515  2.01
3 Fe 0.5000 0.0000 0.0000  3.18
4 Pt 0.5974 0.4522 0.1949  0.34
5 Pt 0.9531 0.2697 0.9062  0.28
6 Pt 0.6818 0.9161 0.3636  0.29
7 Pt 0.3182 0.0839 0.6364  0.29
8 Pt 0.0469 0.7303 0.0938  0.28
9 Pt 0.1390 0.1906 0.2780  0.34
10 Pt 0.4026 0.5478 0.8051  0.34
11 Pt 0.8610 0.8094 0.7220  0.34

Crystal system: monoclinic
Energy of formation from the pure elements (eV/f.u.): -1.35

=====

No. 13
Co2SiAgH after structural relaxation. Source: Alexandria via LeMat-Bulk, functional PBE.

a = 4.4610 Å, b = 3.2303 Å, c = 4.4610 Å
α = 90.00°, β = 90.00°, γ = 90.00°
Each line ends with the local moment (μB).
Positions (direct):
1 Co 0.0000 0.0000 0.5000  1.25
2 Si 0.0000 0.0000 0.0000  -0.04
3 Co 0.5000 0.0000 0.0000  1.37
4 Ag 0.5000 0.5000 0.5000  0.01
5 H 0.0000 0.5000 0.0000  0.03

Crystal system: tetragonal
Total DFT energy (no corrections) (eV/atom): -4.50

=====

No. 14
LiNiBr after structural relaxation. Source: Alexandria via LeMat-Bulk, functional PBE.

a = 4.6410 Å, b = 4.6410 Å, c = 4.6410 Å
α = 136.66°, β = 136.67°, γ = 62.95°
Positions (direct):
1 Br 0.9829 0.9829 0.0000
2 Ni 0.6885 0.6885 0.0000
3 Li 0.3285 0.3285 0.0000

Energy relative to the elements, uncorrected (eV/f.u.): -0.2
Crystal system: tetragonal
Distance to the lowest polymorph of the same formula (meV/atom): 396

=====

No. 15
Zn2Co2Au after structural relaxation. Source: Alexandria via LeMat-Bulk, functional PBE.

a = 3.3050 Å, b = 3.3050 Å, c = 7.1876 Å
α = 76.71°, β = 76.71°, γ = 90.00°
Each line ends with the local moment (μB).
Positions (direct):
1 Co 0.2500 0.7500 0.5000  1.69
2 Zn 0.3941 0.3941 0.2117  -0.02
3 Co 0.7500 0.2500 0.5000  1.69
4 Zn 0.6059 0.6059 0.7883  -0.02
5 Au 0.0000 0.0000 0.0000  0.01

Crystal system: tetragonal
Energy of formation from the pure elements (eV/f.u.): 0.81
Distance to the lowest polymorph of the same formula (meV/atom): 68

=====

No. 16
LaMg6Cd after structural relaxation. Source: Alexandria via LeMat-Bulk, functional PBE.

a = 6.9216 Å, b = 6.9216 Å, c = 5.1177 Å
α = 90.00°, β = 90.00°, γ = 124.07°
Positions (direct):
1 Mg 0.3172 0.1779 0.5000
2 Mg 0.6509 0.3491 0.0000
3 Mg 0.6877 0.8294 0.0000
4 Mg 0.8221 0.6828 0.5000
5 La 0.1884 0.8116 0.0000
6 Mg 0.8086 0.1914 0.5000
7 Mg 0.1706 0.3123 0.0000
8 Cd 0.3544 0.6456 0.5000

Crystal system: orthorhombic
Energy of formation from the pure elements (eV/f.u.): -0.29

=====

No. 17
Re2Sb after structural relaxation. Source: Alexandria via LeMat-Bulk, functional PBE.

a = 2.9541 Å, b = 4.4281 Å, c = 7.7423 Å
α = 90.00°, β = 90.00°, γ = 90.00°
Positions (direct):
1 Sb 0.0000 0.0000 0.0000
2 Re 0.2875 0.5000 0.1638
3 Re 0.7875 0.0000 0.3362
4 Sb 0.5000 0.5000 0.5000
5 Re 0.7125 0.5000 0.8362
6 Re 0.2125 0.0000 0.6638

Energy relative to the elements, uncorrected (eV/f.u.): 2.1
Crystal system: orthorhombic
Distance to the lowest polymorph of the same formula (meV/atom): 494

=====

No. 18
CoMo3 after structural relaxation. Source: Alexandria via LeMat-Bulk, functional PBE.

a = 5.5450 Å, b = 5.5450 Å, c = 4.3892 Å
α = 90.00°, β = 90.00°, γ = 120.00°
Each line ends with the local moment (μB).
Positions (direct):
1 Mo 0.3359 0.1680 0.2500  -0.02
2 Mo 0.8320 0.6641 0.2500  -0.02
3 Mo 0.1680 0.8320 0.7500  -0.02
4 Mo 0.8320 0.1680 0.2500  -0.02
5 Mo 0.1680 0.3359 0.7500  -0.02
6 Co 0.3333 0.6667 0.2500  0.63
7 Mo 0.6641 0.8320 0.7500  -0.02
8 Co 0.6667 0.3333 0.7500  0.63

Crystal system: hexagonal
Energy of formation from the pure elements (eV/f.u.): 0.98

=====

No. 19
V3Pd12Pt5 after structural relaxation. Source: Alexandria via LeMat-Bulk, functional PBE.

a = 12.6999 Å, b = 12.6999 Å, c = 12.6999 Å
α = 109.47°, β = 109.47°, γ = 109.47°
Each line ends with the local moment (μB).
Positions (direct):
1 Pd 0.3948 0.2619 0.3342  -0.02
2 Pd 0.7619 0.4276 0.3670  -0.02
3 V 0.1250 0.2500 0.8750  0.90
4 Pd 0.9394 0.1052 0.8670  -0.02
5 Pd 0.4276 0.6658 0.0606  -0.02
6 Pd 0.1330 0.3948 0.0606  -0.02
7 Pd 0.1330 0.7381 0.5724  -0.02
8 Pd 0.5724 0.2381 0.1330  -0.02
9 Pd 0.4394 0.3670 0.6052  -0.02
10 Pd 0.9276 0.5606 0.1658  -0.02
11 V 0.3750 0.7500 0.6250  0.90
12 V 0.6250 0.3750 0.7500  0.90
13 Pd 0.6052 0.8670 0.4394  -0.02
14 V 0.2500 0.1250 0.3750  0.90
15 Pt 0.8750 0.2500 0.6250  -0.04
16 Pt 0.3750 0.2500 0.1250  -0.04
17 Pd 0.3948 0.1330 0.5606  -0.02
18 Pd 0.4276 0.7619 0.8670  -0.02
19 Pt 0.3750 0.1250 0.7500  -0.04
20 Pd 0.2381 0.6658 0.1052  -0.02
21 Pt 0.2500 0.8750 0.1250  -0.04
22 Pd 0.7381 0.1330 0.0724  -0.02
23 Pd 0.8342 0.9394 0.0724  -0.02
24 Pd 0.0606 0.8948 0.1330  -0.02
25 Pt 0.6250 0.8750 0.2500  -0.04
26 Pd 0.0724 0.4394 0.8342  -0.02
27 Pd 0.8948 0.0606 0.6330  -0.02
28 Pd 0.2619 0.3948 0.8342  -0.02
29 V 0.6250 0.2500 0.3750  0.90
30 Pt 0.5000 0.5000 0.0000  -0.03
31 Pd 0.7381 0.6052 0.1658  -0.02
32 Pd 0.6052 0.7381 0.6658  -0.02
33 V 0.3750 0.6250 0.2500  0.90
34 Pt 0.0000 0.5000 0.5000  -0.03
35 Pt 0.5000 0.0000 0.0000  -0.03
36 Pt 0.0000 0.5000 0.0000  -0.03
37 V 0.8750 0.1250 0.2500  0.90
38 Pd 0.3670 0.4394 0.1052  -0.02
39 V 0.1250 0.8750 0.7500  0.90
40 Pt 0.1250 0.3750 0.2500  -0.04
41 Pt 0.5000 0.0000 0.5000  -0.03
42 Pd 0.2619 0.8670 0.9276  -0.02
43 V 0.7500 0.8750 0.6250  0.90
44 V 0.8750 0.7500 0.1250  0.90
45 Pd 0.1658 0.0606 0.9276  -0.02
46 Pd 0.9394 0.8342 0.5724  -0.02
47 Pd 0.8670 0.2619 0.4276  -0.02
48 Pd 0.1052 0.9394 0.3670  -0.02
49 Pd 0.1658 0.1052 0.7381  -0.02
50 Pd 0.6658 0.2381 0.6052  -0.02
51 Pd 0.1052 0.1658 0.2381  -0.02
52 Pt 0.6250 0.7500 0.8750  -0.04
53 Pt 0.8750 0.6250 0.7500  -0.04
54 Pt 0.7500 0.1250 0.8750  -0.04
55 Pd 0.0724 0.6330 0.7381  -0.02
56 Pd 0.3670 0.9276 0.7619  -0.02
57 Pt 0.7500 0.6250 0.3750  -0.04
58 Pd 0.5606 0.9276 0.6658  -0.02
59 Pd 0.6658 0.4276 0.5606  -0.02
60 Pd 0.0606 0.1658 0.4276  -0.02
61 Pd 0.2381 0.5724 0.6330  -0.02
62 Pt 0.1250 0.7500 0.3750  -0.04
63 Pd 0.5606 0.6330 0.3948  -0.02
64 V 0.2500 0.6250 0.8750  0.90
65 Pd 0.8342 0.8948 0.2619  -0.02
66 Pd 0.5724 0.3342 0.9394  -0.02
67 Pt 0.0000 0.0000 0.5000  -0.03
68 Pd 0.8948 0.8342 0.7619  -0.02
69 Pd 0.6330 0.5606 0.8948  -0.02
70 Pt 0.5000 0.5000 0.5000  -0.03
71 Pt 0.0000 0.0000 0.0000  -0.03
72 Pt 0.2500 0.3750 0.6250  -0.04
73 Pd 0.7619 0.3342 0.8948  -0.02
74 Pd 0.6330 0.0724 0.2381  -0.02
75 Pd 0.8670 0.6052 0.9394  -0.02
76 Pd 0.3342 0.5724 0.4394  -0.02
77 Pd 0.9276 0.3670 0.2619  -0.02
78 Pd 0.4394 0.0724 0.3342  -0.02
79 Pd 0.3342 0.7619 0.3948  -0.02
80 V 0.7500 0.3750 0.1250  0.90

Crystal system: cubic
Energy of formation from the pure elements (eV/f.u.): 10.90

=====

No. 20
AcNd2Sm3S6 after structural relaxation. Source: Alexandria via LeMat-Bulk, functional PBE.

a = 7.0639 Å, b = 7.0639 Å, c = 7.0847 Å
α = 99.57°, β = 99.57°, γ = 120.17°
Positions (direct):
1 S 0.2543 0.2543 0.7412
2 Ac 0.0000 0.0000 0.0000
3 S 0.4275 0.0875 0.2613
4 Sm 0.1654 0.8346 0.5000
5 S 0.0875 0.4275 0.2613
6 Nd 0.6674 0.3326 0.0000
7 S 0.7457 0.7457 0.2588
8 Sm 0.8346 0.1654 0.5000
9 Sm 0.5000 0.5000 0.5000
10 S 0.5725 0.9125 0.7387
11 S 0.9125 0.5725 0.7387
12 Nd 0.3326 0.6674 0.0000

Energy relative to the elements, uncorrected (eV/f.u.): -24.2
Crystal system: monoclinic